[1]
Li2PmCu9 | PBE | relaxed

extended XYZ file:
```
24
Lattice="8.344 0.000 0.000 0.000 8.344 0.000 0.000 0.000 4.937" Properties=species:S:1:pos:R:3 pbc="T T T"
Li 0.944 3.228 0.000
Li 3.228 7.399 0.000
Li 5.116 0.944 0.000
Li 7.399 5.116 0.000
Pm 0.000 0.000 0.000
Pm 4.172 4.172 0.000
Cu 0.000 4.172 2.468
Cu 0.517 1.757 2.468
Cu 1.508 5.680 1.203
Cu 1.508 5.680 3.734
Cu 1.757 7.827 2.468
Cu 2.415 3.655 2.468
Cu 2.664 1.508 1.203
Cu 2.664 1.508 3.734
Cu 3.655 5.928 2.468
Cu 4.172 0.000 2.468
Cu 4.689 2.415 2.468
Cu 5.680 6.836 1.203
Cu 5.680 6.836 3.734
Cu 5.928 4.689 2.468
Cu 6.587 0.517 2.468
Cu 6.836 2.664 1.203
Cu 6.836 2.664 3.734
Cu 7.827 6.587 2.468
```

Properties
For the magnetization, the calculation gives 0.00 μB/cell. Its calculated formation energy is -0.1164 eV per atom. The calculation puts the total DFT energy (no corrections) at -3.903 eV per atom. As for the space-group type: P4/mbm.

=====

[2]
Li2PmCu2 | PBE | relaxed

extended XYZ file:
```
10
Lattice="-1.934 1.997 12.347 1.934 -1.997 12.347 1.934 1.997 -12.347" Properties=species:S:1:pos:R:3 pbc="T T T"
Li 1.934 0.998 -4.981
Li 0.000 0.998 4.933
Li 1.934 0.998 7.414
Li 0.000 0.998 17.329
Pm 1.934 0.998 1.880
Pm 0.000 0.998 10.467
Cu 1.934 -0.998 9.161
Cu 1.934 -0.998 11.655
Cu 0.000 2.995 0.692
Cu 0.000 2.995 3.186
```

Properties
For the magnetization, the calculation gives 0.00 μB/cell. Its calculated formation energy is -0.1060 eV per atom. The calculation puts the total DFT energy (no corrections) at -3.460 eV per atom. As for the space-group type: Imma.

=====

[3]
LiPmCu | PBE | relaxed

extended XYZ file:
```
12
Lattice="0.000 6.809 7.188 3.112 0.000 7.188 3.112 6.809 0.000" Properties=species:S:1:pos:R:3 pbc="T T T"
Li 2.334 1.557 5.391
Li 3.890 4.962 8.986
Li 2.334 8.656 5.391
Li 3.890 12.060 8.986
Pm 3.877 5.107 5.391
Pm 5.433 8.511 8.986
Pm 0.791 5.107 5.391
Pm 2.347 8.511 8.986
Cu 3.112 3.404 3.594
Cu 1.556 6.809 3.594
Cu 1.556 3.404 7.188
Cu 3.112 6.809 7.188
```

Properties
For the magnetization, the calculation gives 0.41 μB/cell. Its calculated formation energy is 0.3454 eV per atom. The calculation puts the total DFT energy (no corrections) at -3.241 eV per atom. As for the space-group type: Fddd.

=====

[4]
Li2PmCu2 | PBE | relaxed

extended XYZ file:
```
5
Lattice="4.941 -2.081 0.000 4.941 2.081 0.000 -1.786 0.000 4.737" Properties=species:S:1:pos:R:3 pbc="T T T"
Li 1.403 0.000 0.301
Li 6.692 0.000 4.435
Pm 4.048 0.000 2.368
Cu 1.155 0.000 2.904
Cu 6.940 0.000 1.833
```

Properties
For the magnetization, the calculation gives 0.00 μB/cell. Its calculated formation energy is -0.0519 eV per atom. The calculation puts the total DFT energy (no corrections) at -3.406 eV per atom. As for the space-group type: C2/m.

=====

[5]
LiPmCu10 | PBE | relaxed

extended XYZ file:
```
12
Lattice="4.099 0.000 0.000 0.000 4.980 0.000 0.000 0.000 8.628" Properties=species:S:1:pos:R:3 pbc="T T T"
Li 0.000 0.000 0.000
Pm 0.000 2.490 4.314
Cu 0.000 0.000 2.710
Cu 0.000 0.000 5.918
Cu 0.000 2.490 1.345
Cu 0.000 2.490 7.283
Cu 2.049 0.000 4.314
Cu 2.049 1.253 2.140
Cu 2.049 1.253 6.487
Cu 2.049 2.490 0.000
Cu 2.049 3.727 2.140
Cu 2.049 3.727 6.487
```

Properties
For the magnetization, the calculation gives 0.00 μB/cell. Its calculated formation energy is -0.0767 eV per atom. The calculation puts the total DFT energy (no corrections) at -4.046 eV per atom. As for the space-group type: Pmmm.

=====

[6]
LiPmCu2 | PBE | relaxed

extended XYZ file:
```
4
Lattice="3.368 0.000 0.000 0.000 3.368 0.000 0.000 0.000 6.390" Properties=species:S:1:pos:R:3 pbc="T T T"
Li 0.000 0.000 0.000
Pm 0.000 0.000 3.195
Cu 1.684 1.684 1.257
Cu 1.684 1.684 5.133
```

Properties
For the magnetization, the calculation gives 0.00 μB/cell. Its calculated formation energy is -0.0386 eV per atom. The calculation puts the total DFT energy (no corrections) at -3.753 eV per atom. As for the space-group type: P4/mmm.

=====

[7]
Li2PmCu6 | PBE | relaxed

extended XYZ file:
```
9
Lattice="4.937 0.000 0.000 -2.469 4.276 0.000 0.000 0.000 7.621" Properties=species:S:1:pos:R:3 pbc="T T T"
Li 0.000 2.851 0.000
Li 2.469 1.425 0.000
Pm 0.000 0.000 3.810
Cu -1.234 2.138 2.226
Cu -1.234 2.138 5.394
Cu 2.469 0.000 2.226
Cu 2.469 0.000 5.394
Cu 1.234 2.138 2.226
Cu 1.234 2.138 5.394
```

Properties
For the magnetization, the calculation gives 0.00 μB/cell. Its calculated formation energy is 0.1100 eV per atom. The calculation puts the total DFT energy (no corrections) at -3.574 eV per atom. As for the space-group type: P6/mmm.

=====

[8]
LiPmCu11 | PBE | relaxed

extended XYZ file:
```
13
Lattice="2.414 -5.991 0.000 2.414 5.991 0.000 -2.411 0.000 6.098" Properties=species:S:1:pos:R:3 pbc="T T T"
Li 0.000 0.000 0.000
Pm 1.209 0.000 3.049
Cu 0.002 2.996 3.049
Cu -1.209 1.347 4.444
Cu 1.228 2.152 0.887
Cu -1.209 -1.347 4.444
Cu 1.189 2.152 5.211
Cu 0.002 -2.996 3.049
Cu 2.414 0.000 0.000
Cu 1.228 -2.152 0.887
Cu 3.626 1.347 1.654
Cu 1.189 -2.152 5.211
Cu 3.626 -1.347 1.654
```

Properties
For the magnetization, the calculation gives 0.00 μB/cell. Its calculated formation energy is -0.0677 eV per atom. The calculation puts the total DFT energy (no corrections) at -4.046 eV per atom. As for the space-group type: C2/m.